A relaxed BaCa2Tb crystal. Source: Alexandria via LeMat-Bulk, functional PBE.

POSCAR file:
```
BaCa2Tb
1.0
-0.1916 -4.0878 -1.0293
0.3567 -1.0424 4.0734
-9.6294 0.2244 0.9007
Tb Ba Ca
1 1 2
direct
0.5000 0.5000 0.0000 Tb
0.5000 0.5000 0.5000 Ba
0.0000 0.0000 0.2118 Ca
0.0000 0.0000 0.7882 Ca
```

Magnetic moment = 0.0 Bohr magnetons per cell
SG = P4/mmm (123)
DFT formation energy = 0.111 eV per atom
Energy above the most stable polymorph in this dataset = 0.000 eV per atom
VASP energy = -10.11 eV/cell